1.
# AcCd4Ag2 GGA-PBE relaxed
# * magnetic moment: 0.000 μB per cell
data_AcCd4Ag2
_symmetry_space_group_name_H-M 'P 42/m n m'
_symmetry_Int_Tables_number 136
_symmetry_space_group_name_Hall '-P 4n 2n'
_cell_length_a 8.4583
_cell_length_b 8.4583
_cell_length_c 4.7043
_cell_angle_alpha 90.00
_cell_angle_beta 90.00
_cell_angle_gamma 90.00
loop_
_atom_site_label
_atom_site_type_symbol
_atom_site_fract_x
_atom_site_fract_y
_atom_site_fract_z
_atom_site_occupancy
Ac1 Ac 0.0000 0.0000 0.0000 1
Cd1 Cd 0.0922 0.3442 0.5000 1
Ag1 Ag 0.2123 0.7877 0.5000 1

***

2.
# Pr4ZnCd GGA-PBE relaxed
# * magnetic moment: 0.387 μB per cell
# * relative energy among the computed polymorphs: 0.0 meV/atom
data_Pr4ZnCd
_symmetry_space_group_name_H-M 'P 4/m m m'
_symmetry_Int_Tables_number 123
_symmetry_space_group_name_Hall '-P 4 2'
_cell_length_a 3.7706
_cell_length_b 3.7706
_cell_length_c 12.9129
_cell_angle_alpha 90.00
_cell_angle_beta 90.00
_cell_angle_gamma 90.00
loop_
_atom_site_label
_atom_site_type_symbol
_atom_site_fract_x
_atom_site_fract_y
_atom_site_fract_z
_atom_site_occupancy
Pr1 Pr 0.0000 0.0000 0.1401 1
Pr2 Pr 0.5000 0.5000 0.3424 1
Zn1 Zn 0.5000 0.5000 0.0000 1
Cd1 Cd 0.0000 0.0000 0.5000 1

***

| no. | formation energy (eV/atom) |
| --- | --- |
| 1 | -0.2093 |
| 2 | -0.1927 |